Crystalline CaSc4S6 at its relaxed geometry. Source: the Alexandria database, functional GGA-PBE.

Summary:
Total magnetization = 0.000 μB per cell
Mass density = 3.15 g/cm³
DOS at the Fermi energy = 8.22 states/eV/cell
Formation energy from raw total energies = -188 kJ/mol of atoms
Total DFT energy (no corrections) = -73.563 eV/f.u.

a = 3.708 Å, b = 6.386 Å, c = 19.188 Å
α = 90.00°, β = 90.00°, γ = 106.88°
Atoms (fractional coordinates):
Sc 0.862 0.725 0.540
Sc 0.138 0.275 0.040
Sc 0.594 0.188 0.629
Sc 0.406 0.812 0.129
Sc 0.594 0.188 0.871
Sc 0.138 0.275 0.460
Sc 0.862 0.725 0.960
Sc 0.406 0.812 0.371
S 0.675 0.351 0.750
S 0.771 0.542 0.416
S 0.500 0.000 0.000
S 0.229 0.458 0.584
S 0.957 0.913 0.840
S 0.229 0.458 0.916
S 0.500 0.000 0.500
S 0.043 0.087 0.160
S 0.957 0.913 0.660
S 0.043 0.087 0.340
S 0.771 0.542 0.084
S 0.325 0.649 0.250
Ca 0.343 0.687 0.750
Ca 0.657 0.313 0.250

Crystalline CaSc2S2 at its relaxed geometry. Source: the Alexandria database, functional GGA-PBE.

Summary:
Total magnetization = 0.000 μB per cell
Offset from the most stable computed form = 0.0557 eV/atom
Mass density = 2.99 g/cm³
DOS at the Fermi energy = 4.16 states/eV/cell
Formation energy from raw total energies = -114 kJ/mol of atoms
Total DFT energy (no corrections) = -28.827 eV/f.u.

a = 4.147 Å, b = 4.147 Å, c = 6.912 Å
α = 72.54°, β = 72.54°, γ = 90.00°
Atoms (fractional coordinates):
Sc 0.750 0.250 0.500
Sc 0.250 0.750 0.500
S 0.625 0.625 0.750
S 0.375 0.375 0.250
Ca 0.000 0.000 0.000

Crystalline CaScSeS at its relaxed geometry. Source: the Alexandria database, functional GGA-PBE.

Summary:
Total magnetization = 0.000 μB per cell
Mass density = 3.71 g/cm³
DOS at the Fermi energy = 2.61 states/eV/cell
Formation energy from raw total energies = -171 kJ/mol of atoms
Total DFT energy (no corrections) = -23.033 eV/f.u.

a = 3.840 Å, b = 3.840 Å, c = 7.212 Å
α = 90.00°, β = 105.43°, γ = 120.00°
Atoms (fractional coordinates):
Ca 0.969 0.383 0.367
Sc 0.302 0.549 0.866
Se 0.122 0.959 0.096
S 0.485 0.140 0.641

Crystalline CaSmSc4S8 at its relaxed geometry. Source: the Alexandria database, functional GGA-PBE.

Summary:
Total magnetization = 0.000 μB per cell
Mass density = 3.09 g/cm³
DOS at the Fermi energy = 5.43 states/eV/cell
Formation energy from raw total energies = -181 kJ/mol of atoms
Total DFT energy (no corrections) = -91.307 eV/f.u.

a = 7.732 Å, b = 7.732 Å, c = 7.895 Å
α = 60.68°, β = 60.68°, γ = 60.00°
Atoms (fractional coordinates):
S 0.747 0.747 0.271
S 0.758 0.758 0.727
S 0.235 0.747 0.271
S 0.248 0.248 0.718
S 0.785 0.248 0.718
S 0.747 0.235 0.271
S 0.235 0.235 0.295
S 0.248 0.785 0.718
Sc 0.002 0.495 0.502
Sc 0.626 0.626 0.121
Sc 0.495 0.002 0.502
Sc 0.002 0.002 0.502
Ca 0.371 0.371 0.887
Sm 0.001 0.001 0.996

Crystalline CaScTa2S at its relaxed geometry. Source: the Alexandria database, functional GGA-PBE.

Summary:
Total magnetization = 0.000 μB per cell
Mass density = 6.62 g/cm³
DOS at the Fermi energy = 8.19 states/eV/cell
Formation energy from raw total energies = 217 kJ/mol of atoms
Total DFT energy (no corrections) = -24.929 eV/f.u.

a = 4.749 Å, b = 5.330 Å, c = 4.749 Å
α = 90.00°, β = 90.00°, γ = 90.00°
Atoms (fractional coordinates):
Sc 0.000 0.500 0.000
Ta 0.000 0.000 0.500
Ta 0.500 0.000 0.000
S 0.500 0.500 0.500
Ca 0.000 0.000 0.000

Crystalline CaTb2ScS4 at its relaxed geometry. Source: the Alexandria database, functional GGA-PBE.

Summary:
Total magnetization = 0.000 μB per cell
Mass density = 5.30 g/cm³
DOS at the Fermi energy = 2.90 states/eV/cell
Formation energy from raw total energies = -190 kJ/mol of atoms
Total DFT energy (no corrections) = -49.895 eV/f.u.

a = 3.875 Å, b = 6.739 Å, c = 6.741 Å
α = 109.16°, β = 90.00°, γ = 90.00°
Atoms (fractional coordinates):
Sc 0.000 0.000 0.000
Tb 0.000 0.500 0.500
Tb 0.500 0.000 0.500
S 0.000 0.756 0.245
S 0.000 0.244 0.755
S 0.500 0.239 0.239
S 0.500 0.761 0.761
Ca 0.500 0.500 0.000

Crystalline CaTbSc2S4 at its relaxed geometry. Source: the Alexandria database, functional GGA-PBE.

Summary:
Total magnetization = 0.000 μB per cell
Mass density = 4.38 g/cm³
DOS at the Fermi energy = 3.24 states/eV/cell
Formation energy from raw total energies = -188 kJ/mol of atoms
Total DFT energy (no corrections) = -51.390 eV/f.u.

a = 3.806 Å, b = 6.637 Å, c = 6.633 Å
α = 70.89°, β = 90.00°, γ = 90.00°
Atoms (fractional coordinates):
Ca 0.000 0.500 0.500
S 0.500 0.768 0.244
S 0.500 0.232 0.756
S 0.000 0.233 0.256
S 0.000 0.767 0.744
Tb 0.500 0.500 0.000
Sc 0.000 0.000 0.000
Sc 0.500 0.000 0.500

Crystalline Ca2TbScS4 at its relaxed geometry. Source: the Alexandria database, functional GGA-PBE.

Summary:
Total magnetization = 0.000 μB per cell
Mass density = 4.03 g/cm³
DOS at the Fermi energy = 3.64 states/eV/cell
Formation energy from raw total energies = -194 kJ/mol of atoms
Total DFT energy (no corrections) = -47.540 eV/f.u.

a = 3.892 Å, b = 6.727 Å, c = 6.860 Å
α = 109.15°, β = 90.00°, γ = 90.00°
Atoms (fractional coordinates):
S 0.000 0.245 0.758
S 0.500 0.238 0.236
S 0.000 0.755 0.242
S 0.500 0.762 0.764
Tb 0.500 0.500 0.000
Ca 0.000 0.500 0.500
Ca 0.500 0.000 0.500
Sc 0.000 0.000 0.000